MnAl2W: PBEsol geometry, meta-GGA SCAN.

Its formation energy is -70 kJ/mol of formula units. The energy above the lowest structure with this stoichiometry comes out at 3 meV per atom.

The structure in CIF format:
```
data_MnAl2W
_chemical_formula_sum 'Mn1 Al2 W1'
_symmetry_space_group_name_H-M 'P 4/m m m'
_symmetry_Int_Tables_number 123
_symmetry_space_group_name_Hall '-P 4 2'
_cell_length_a 3.828
_cell_length_b 3.828
_cell_length_c 3.829
_cell_angle_alpha 90.00
_cell_angle_beta 90.00
_cell_angle_gamma 90.00
loop_
_atom_site_label
_atom_site_type_symbol
_atom_site_fract_x
_atom_site_fract_y
_atom_site_fract_z
Mn1 Mn 0.000 0.000 0.000
Al1 Al 0.000 0.500 0.500
W1 W 0.500 0.500 0.000
```

LiTlCl: PBEsol geometry, meta-GGA SCAN.

As for the formation energy without anion corrections: -0.4847 eV per atom.

The structure in CIF format:
```
data_LiTlCl
_chemical_formula_sum 'Li4 Tl4 Cl4'
_symmetry_space_group_name_H-M 'F -4 3 m'
_symmetry_Int_Tables_number 216
_symmetry_space_group_name_Hall 'F -4 2 3'
_cell_length_a 7.024
_cell_length_b 7.024
_cell_length_c 7.024
_cell_angle_alpha 90.00
_cell_angle_beta 90.00
_cell_angle_gamma 90.00
loop_
_atom_site_label
_atom_site_type_symbol
_atom_site_fract_x
_atom_site_fract_y
_atom_site_fract_z
Li1 Li 0.000 0.000 0.000
Tl1 Tl 0.000 0.000 0.500
Cl1 Cl 0.250 0.250 0.750
```

SrZn2Cu2: PBEsol geometry, meta-GGA SCAN.

Its formation energy is -67 kJ/mol of formula units.

The structure in CIF format:
```
data_SrZn2Cu2
_chemical_formula_sum 'Sr2 Zn4 Cu4'
_symmetry_space_group_name_H-M 'I 4/m m m'
_symmetry_Int_Tables_number 139
_symmetry_space_group_name_Hall '-I 4 2'
_cell_length_a 4.429
_cell_length_b 4.429
_cell_length_c 9.319
_cell_angle_alpha 90.00
_cell_angle_beta 90.00
_cell_angle_gamma 90.00
loop_
_atom_site_label
_atom_site_type_symbol
_atom_site_fract_x
_atom_site_fract_y
_atom_site_fract_z
Sr1 Sr 0.000 0.000 0.000
Zn1 Zn 0.000 0.000 0.362
Cu1 Cu 0.000 0.500 0.250
```

Li3MnV4O8: PBEsol geometry, meta-GGA SCAN.

As for the formation energy without anion corrections: -2.4093 eV per atom.

The structure in CIF format:
```
data_Li3MnV4O8
_chemical_formula_sum 'Li6 Mn2 V8 O16'
_symmetry_space_group_name_H-M 'C 1 2/m 1'
_symmetry_Int_Tables_number 12
_symmetry_space_group_name_Hall '-C 2y'
_cell_length_a 9.785
_cell_length_b 5.721
_cell_length_c 5.836
_cell_angle_alpha 90.00
_cell_angle_beta 124.31
_cell_angle_gamma 90.00
loop_
_atom_site_label
_atom_site_type_symbol
_atom_site_fract_x
_atom_site_fract_y
_atom_site_fract_z
Li1 Li 0.000 0.000 0.000
Li2 Li 0.250 0.250 0.000
Mn1 Mn 0.000 0.500 0.500
V1 V 0.000 0.000 0.500
V2 V 0.000 0.500 0.000
V3 V 0.250 0.250 0.500
O1 O 0.003 0.257 0.748
O2 O 0.248 0.500 0.738
O3 O 0.249 0.500 0.248
```

Na2ICl: PBEsol geometry, meta-GGA SCAN.

As for the formation energy without anion corrections: -1.6310 eV per atom.

The structure in CIF format:
```
data_Na2ICl
_chemical_formula_sum 'Na8 I4 Cl4'
_symmetry_space_group_name_H-M 'I -4 2 d'
_symmetry_Int_Tables_number 122
_symmetry_space_group_name_Hall 'I -4 2bw'
_cell_length_a 7.491
_cell_length_b 7.491
_cell_length_c 8.929
_cell_angle_alpha 90.00
_cell_angle_beta 90.00
_cell_angle_gamma 90.00
loop_
_atom_site_label
_atom_site_type_symbol
_atom_site_fract_x
_atom_site_fract_y
_atom_site_fract_z
Na1 Na 0.206 0.250 0.125
I1 I 0.000 0.000 0.500
Cl1 Cl 0.000 0.000 0.000
```

Li4MnCrO6: PBEsol geometry, meta-GGA SCAN.

As for the formation energy without anion corrections: -2.3252 eV per atom.

The structure in CIF format:
```
data_Li4MnCrO6
_chemical_formula_sum 'Li16 Mn4 Cr4 O24'
_symmetry_space_group_name_H-M 'C 1 2/c 1'
_symmetry_Int_Tables_number 15
_symmetry_space_group_name_Hall '-C 2yc'
_cell_length_a 4.920
_cell_length_b 8.495
_cell_length_c 9.523
_cell_angle_alpha 90.00
_cell_angle_beta 99.53
_cell_angle_gamma 90.00
loop_
_atom_site_label
_atom_site_type_symbol
_atom_site_fract_x
_atom_site_fract_y
_atom_site_fract_z
Li1 Li 0.000 0.250 0.250
Li2 Li 0.245 0.090 0.499
Li3 Li 0.250 0.250 0.000
Mn1 Mn 0.000 0.083 0.750
Cr1 Cr 0.000 0.418 0.750
O1 O 0.106 0.249 0.636
O2 O 0.140 0.071 0.137
O3 O 0.144 0.428 0.138
```

no.,density (g cm⁻³)
1,8.7
2,4.7
3,6.3
4,5.0
5,2.8
6,3.9